# Li2MgCoF6 (PBE with a Hubbard U, optimized geometry)
# Fermi-level density of states ... 0.000 states/eV/cell
# Crystal system ... trigonal
# Raw total energy ... -5.049 eV per atom
data_Li2MgCoF6
_cell_length_a 5.514
_cell_length_b 5.514
_cell_length_c 5.514
_cell_angle_alpha 55.50
_cell_angle_beta 55.50
_cell_angle_gamma 55.50
_symmetry_space_group_name_H-M 'P 1'
_symmetry_Int_Tables_number 1
loop_
_symmetry_equiv_pos_as_xyz
'x,y,z'
loop_
_atom_site_label
_atom_site_fract_x
_atom_site_fract_y
_atom_site_fract_z
_atom_site_occupancy
Li1 0.000 0.000 0.000 1
Li2 0.500 0.500 0.500 1
Mg1 0.293 0.293 0.293 1
Co1 0.792 0.792 0.792 1
F1 0.082 0.392 0.689 1
F2 0.195 0.901 0.572 1
F3 0.392 0.689 0.082 1
F4 0.572 0.195 0.901 1
F5 0.689 0.082 0.392 1
F6 0.901 0.572 0.195 1